This record from Alexandria describes a geometry-optimized CaV3Au structure. The functional is PBE-GGA.

Calculated values
Size of the total moment: 3.03 μB/f.u.
Distance to the lowest polymorph of the same formula: 0.939 eV/atom
Crystal system: cubic
V: 86.5 Å³/cell
Formation energy: 2052 meV/atom

Cell and atoms, written as CIF:
```
data_CaV3Au
_cell_length_a 4.422
_cell_length_b 4.422
_cell_length_c 4.422
_cell_angle_alpha 90.00
_cell_angle_beta 90.00
_cell_angle_gamma 90.00
_symmetry_space_group_name_H-M 'P 1'
_symmetry_Int_Tables_number 1
_symmetry_space_group_name_Hall 'P 1'
loop_
_atom_site_label
_atom_site_type_symbol
_atom_site_fract_x
_atom_site_fract_y
_atom_site_fract_z
Ca1 Ca 0.000 0.000 0.000
V1 V 0.000 0.000 0.500
V2 V 0.000 0.500 0.000
V3 V 0.500 0.000 0.000
Au1 Au 0.500 0.500 0.500
```


This record from Alexandria describes a geometry-optimized CaVAu structure. The functional is PBE-GGA.

Calculated values
Size of the total moment: 0.00 μB/f.u.
Distance to the lowest polymorph of the same formula: 0.096 eV/atom
Crystal system: monoclinic
V: 129.6 Å³/cell
Formation energy: -54 meV/atom

Cell and atoms, written as CIF:
```
data_CaVAu
_cell_length_a 4.963
_cell_length_b 4.963
_cell_length_c 5.816
_cell_angle_alpha 106.13
_cell_angle_beta 106.13
_cell_angle_gamma 75.02
_symmetry_space_group_name_H-M 'P 1'
_symmetry_Int_Tables_number 1
_symmetry_space_group_name_Hall 'P 1'
loop_
_atom_site_label
_atom_site_type_symbol
_atom_site_fract_x
_atom_site_fract_y
_atom_site_fract_z
Ca1 Ca 0.224 0.224 0.146
Ca2 Ca 0.776 0.776 0.854
V1 V 0.154 0.846 0.500
V2 V 0.846 0.154 0.500
Au1 Au 0.360 0.360 0.722
Au2 Au 0.640 0.640 0.278
```


This record from Alexandria describes a geometry-optimized CaVAu2 structure. The functional is PBE-GGA.

Calculated values
Size of the total moment: 3.48 μB/f.u.
Distance to the lowest polymorph of the same formula: 0.366 eV/atom
Crystal system: tetragonal
V: 211.7 Å³/cell
Formation energy: 185 meV/atom

Cell and atoms, written as CIF:
```
data_CaVAu2
_cell_length_a 9.335
_cell_length_b 9.335
_cell_length_c 9.335
_cell_angle_alpha 149.28
_cell_angle_beta 149.28
_cell_angle_gamma 44.01
_symmetry_space_group_name_H-M 'P 1'
_symmetry_Int_Tables_number 1
_symmetry_space_group_name_Hall 'P 1'
loop_
_atom_site_label
_atom_site_type_symbol
_atom_site_fract_x
_atom_site_fract_y
_atom_site_fract_z
Ca1 Ca 0.000 0.000 0.000
Ca2 Ca 0.750 0.250 0.500
V1 V 0.250 0.750 0.500
V2 V 0.500 0.500 0.000
Au1 Au 0.221 0.625 0.096
Au2 Au 0.375 0.471 0.596
Au3 Au 0.529 0.125 0.904
Au4 Au 0.875 0.779 0.404
```


This record from Alexandria describes a geometry-optimized CaVAu structure. The functional is PBE-GGA.

Calculated values
Size of the total moment: 0.12 μB/f.u.
Distance to the lowest polymorph of the same formula: 0.124 eV/atom
Crystal system: triclinic
V: 134.6 Å³/cell
Formation energy: -26 meV/atom

Cell and atoms, written as CIF:
```
data_CaVAu
_cell_length_a 4.253
_cell_length_b 5.783
_cell_length_c 5.876
_cell_angle_alpha 83.56
_cell_angle_beta 86.41
_cell_angle_gamma 69.69
_symmetry_space_group_name_H-M 'P 1'
_symmetry_Int_Tables_number 1
_symmetry_space_group_name_Hall 'P 1'
loop_
_atom_site_label
_atom_site_type_symbol
_atom_site_fract_x
_atom_site_fract_y
_atom_site_fract_z
Ca1 Ca 0.000 0.000 0.000
Ca2 Ca 0.399 0.173 0.469
V1 V 0.316 0.463 0.921
V2 V 0.659 0.559 0.765
Au1 Au 0.095 0.744 0.509
Au2 Au 0.718 0.579 0.221
```


This record from Alexandria describes a geometry-optimized CaVAu structure. The functional is PBE-GGA.

Calculated values
Size of the total moment: 3.45 μB/f.u.
Distance to the lowest polymorph of the same formula: 0.262 eV/atom
Crystal system: hexagonal
V: 134.5 Å³/cell
Formation energy: 112 meV/atom

Cell and atoms, written as CIF:
```
data_CaVAu
_cell_length_a 4.727
_cell_length_b 4.727
_cell_length_c 6.946
_cell_angle_alpha 90.00
_cell_angle_beta 90.00
_cell_angle_gamma 120.00
_symmetry_space_group_name_H-M 'P 1'
_symmetry_Int_Tables_number 1
_symmetry_space_group_name_Hall 'P 1'
loop_
_atom_site_label
_atom_site_type_symbol
_atom_site_fract_x
_atom_site_fract_y
_atom_site_fract_z
Ca1 Ca 0.000 0.000 0.000
Ca2 Ca 0.000 0.000 0.500
V1 V 0.333 0.667 0.250
V2 V 0.667 0.333 0.750
Au1 Au 0.333 0.667 0.750
Au2 Au 0.667 0.333 0.250
```


This record from Alexandria describes a geometry-optimized CaVAu structure. The functional is PBE-GGA.

Calculated values
Size of the total moment: 0.00 μB/f.u.
Distance to the lowest polymorph of the same formula: 0.158 eV/atom
Crystal system: orthorhombic
V: 254.9 Å³/cell
Formation energy: 8 meV/atom

Cell and atoms, written as CIF:
```
data_CaVAu
_cell_length_a 8.615
_cell_length_b 3.226
_cell_length_c 9.173
_cell_angle_alpha 90.00
_cell_angle_beta 90.00
_cell_angle_gamma 90.00
_symmetry_space_group_name_H-M 'P 1'
_symmetry_Int_Tables_number 1
_symmetry_space_group_name_Hall 'P 1'
loop_
_atom_site_label
_atom_site_type_symbol
_atom_site_fract_x
_atom_site_fract_y
_atom_site_fract_z
Ca1 Ca 0.169 0.250 0.089
Ca2 Ca 0.331 0.750 0.589
Ca3 Ca 0.669 0.250 0.411
Ca4 Ca 0.831 0.750 0.911
V1 V 0.051 0.250 0.418
V2 V 0.449 0.750 0.918
V3 V 0.551 0.250 0.082
V4 V 0.949 0.750 0.582
Au1 Au 0.104 0.250 0.768
Au2 Au 0.396 0.750 0.268
Au3 Au 0.604 0.250 0.732
Au4 Au 0.896 0.750 0.232
```


This record from Alexandria describes a geometry-optimized CaVAu structure. The functional is PBE-GGA.

Calculated values
Size of the total moment: 4.21 μB/f.u.
Distance to the lowest polymorph of the same formula: 0.846 eV/atom
Crystal system: cubic
V: 78.1 Å³/cell
Formation energy: 697 meV/atom

Cell and atoms, written as CIF:
```
data_CaVAu
_cell_length_a 4.798
_cell_length_b 4.798
_cell_length_c 4.798
_cell_angle_alpha 60.00
_cell_angle_beta 60.00
_cell_angle_gamma 60.00
_symmetry_space_group_name_H-M 'P 1'
_symmetry_Int_Tables_number 1
_symmetry_space_group_name_Hall 'P 1'
loop_
_atom_site_label
_atom_site_type_symbol
_atom_site_fract_x
_atom_site_fract_y
_atom_site_fract_z
Ca1 Ca 0.000 0.000 0.000
V1 V 0.750 0.750 0.750
Au1 Au 0.250 0.250 0.250
```


This record from Alexandria describes a geometry-optimized CaVAu2 structure. The functional is PBE-GGA.

Calculated values
Size of the total moment: 3.35 μB/f.u.
Distance to the lowest polymorph of the same formula: 0.000 eV/atom
Crystal system: cubic
V: 81.2 Å³/cell
Formation energy: -180 meV/atom

Cell and atoms, written as CIF:
```
data_CaVAu2
_cell_length_a 4.862
_cell_length_b 4.862
_cell_length_c 4.862
_cell_angle_alpha 60.00
_cell_angle_beta 60.00
_cell_angle_gamma 60.00
_symmetry_space_group_name_H-M 'P 1'
_symmetry_Int_Tables_number 1
_symmetry_space_group_name_Hall 'P 1'
loop_
_atom_site_label
_atom_site_type_symbol
_atom_site_fract_x
_atom_site_fract_y
_atom_site_fract_z
Ca1 Ca 0.000 0.000 0.000
V1 V 0.500 0.500 0.500
Au1 Au 0.250 0.250 0.250
Au2 Au 0.750 0.750 0.750
```


This record from Alexandria describes a geometry-optimized Ca2VAu structure. The functional is PBE-GGA.

Calculated values
Size of the total moment: 4.55 μB/f.u.
Distance to the lowest polymorph of the same formula: 0.000 eV/atom
Crystal system: cubic
V: 99.7 Å³/cell
Formation energy: 76 meV/atom

Cell and atoms, written as CIF:
```
data_Ca2VAu
_cell_length_a 5.204
_cell_length_b 5.204
_cell_length_c 5.204
_cell_angle_alpha 60.00
_cell_angle_beta 60.00
_cell_angle_gamma 60.00
_symmetry_space_group_name_H-M 'P 1'
_symmetry_Int_Tables_number 1
_symmetry_space_group_name_Hall 'P 1'
loop_
_atom_site_label
_atom_site_type_symbol
_atom_site_fract_x
_atom_site_fract_y
_atom_site_fract_z
Ca1 Ca 0.250 0.250 0.250
Ca2 Ca 0.750 0.750 0.750
V1 V 0.000 0.000 0.000
Au1 Au 0.500 0.500 0.500
```


This record from Alexandria describes a geometry-optimized CaVAu structure. The functional is PBE-GGA.

Calculated values
Size of the total moment: 0.00 μB/f.u.
Distance to the lowest polymorph of the same formula: 0.065 eV/atom
Crystal system: orthorhombic
V: 130.3 Å³/cell
Formation energy: -85 meV/atom

Cell and atoms, written as CIF:
```
data_CaVAu
_cell_length_a 5.817
_cell_length_b 5.817
_cell_length_c 5.817
_cell_angle_alpha 133.73
_cell_angle_beta 103.42
_cell_angle_gamma 94.40
_symmetry_space_group_name_H-M 'P 1'
_symmetry_Int_Tables_number 1
_symmetry_space_group_name_Hall 'P 1'
loop_
_atom_site_label
_atom_site_type_symbol
_atom_site_fract_x
_atom_site_fract_y
_atom_site_fract_z
Ca1 Ca 0.000 0.000 0.000
Ca2 Ca 0.646 0.146 0.500
V1 V 0.113 0.747 0.366
V2 V 0.380 0.747 0.634
Au1 Au 0.225 0.427 0.798
Au2 Au 0.629 0.427 0.202
```


This record from Alexandria describes a geometry-optimized CaVAu structure. The functional is PBE-GGA.

Calculated values
Size of the total moment: 3.65 μB/f.u.
Distance to the lowest polymorph of the same formula: 0.514 eV/atom
Crystal system: tetragonal
V: 136.3 Å³/cell
Formation energy: 364 meV/atom

Cell and atoms, written as CIF:
```
data_CaVAu
_cell_length_a 4.269
_cell_length_b 4.269
_cell_length_c 7.476
_cell_angle_alpha 90.00
_cell_angle_beta 90.00
_cell_angle_gamma 90.00
_symmetry_space_group_name_H-M 'P 1'
_symmetry_Int_Tables_number 1
_symmetry_space_group_name_Hall 'P 1'
loop_
_atom_site_label
_atom_site_type_symbol
_atom_site_fract_x
_atom_site_fract_y
_atom_site_fract_z
Ca1 Ca 0.250 0.750 0.000
Ca2 Ca 0.750 0.250 0.000
V1 V 0.250 0.250 0.347
V2 V 0.750 0.750 0.653
Au1 Au 0.250 0.250 0.710
Au2 Au 0.750 0.750 0.290
```


This record from Alexandria describes a geometry-optimized CaVAu structure. The functional is PBE-GGA.

Calculated values
Size of the total moment: 0.00 μB/f.u.
Distance to the lowest polymorph of the same formula: 0.103 eV/atom
Crystal system: triclinic
V: 143.6 Å³/cell
Formation energy: -47 meV/atom

Cell and atoms, written as CIF:
```
data_CaVAu
_cell_length_a 4.310
_cell_length_b 5.775
_cell_length_c 6.517
_cell_angle_alpha 70.79
_cell_angle_beta 84.49
_cell_angle_gamma 69.70
_symmetry_space_group_name_H-M 'P 1'
_symmetry_Int_Tables_number 1
_symmetry_space_group_name_Hall 'P 1'
loop_
_atom_site_label
_atom_site_type_symbol
_atom_site_fract_x
_atom_site_fract_y
_atom_site_fract_z
Ca1 Ca 0.125 0.316 0.304
Ca2 Ca 0.875 0.684 0.696
V1 V 0.189 0.012 0.923
V2 V 0.811 0.988 0.077
Au1 Au 0.411 0.731 0.327
Au2 Au 0.589 0.269 0.673
```